Material: NpTePd6
Method: DFT, PBE
State: optimized geometry

```
NpTePd6
1.0
4.127 0.000 0.000
0.000 4.127 0.000
0.000 0.000 8.200
Np Te Pd
1 1 6
direct
0.000 0.000 0.000
0.000 0.000 0.500
0.000 0.500 0.243
0.000 0.500 0.757
0.500 0.000 0.243
0.500 0.000 0.757
0.500 0.500 0.000
0.500 0.500 0.500
```

The value obtained for the formation energy without anion corrections is -0.32 eV/atom. The electronic total energy comes out at -6.226 eV per atom. For the volume, the calculation gives 17.5 Å³ per atom. As for the space-group type: P4/mmm (123).


Material: Pm6Cd2Ru
Method: DFT, PBE
State: optimized geometry

```
Pm6Cd2Ru
1.0
7.809 -3.602 0.000
7.809 3.602 0.000
-1.843 0.000 5.172
Pm Cd Ru
6 2 1
direct
0.098 0.602 0.356
0.227 0.773 0.000
0.398 0.902 0.644
0.602 0.098 0.356
0.773 0.227 0.000
0.902 0.398 0.644
0.331 0.331 0.837
0.669 0.669 0.163
0.000 0.000 0.500
```

The electronic total energy comes out at -4.401 eV per atom. For the volume, the calculation gives 32.3 Å³ per atom. As for the space-group type: C2/m (12).


Material: Fe4AsOs
Method: DFT, PBE
State: optimized geometry

```
Fe4AsOs
1.0
0.000 3.386 3.386
3.386 0.000 3.386
3.386 3.386 0.000
Fe As Os
4 1 1
direct
0.125 0.125 0.125
0.125 0.125 0.626
0.125 0.626 0.125
0.626 0.125 0.125
0.500 0.500 0.500
0.750 0.750 0.750
```

The electronic total energy comes out at -7.929 eV per atom. For the volume, the calculation gives 12.9 Å³ per atom. As for the space-group type: F-43m (216).


Material: RbZnCuGe2
Method: DFT, PBE
State: optimized geometry

```
RbZnCuGe2
1.0
6.349 0.000 0.000
0.000 6.349 0.000
0.000 0.000 6.163
Rb Zn Cu Ge
1 1 1 2
direct
0.000 0.000 0.000
0.000 0.000 0.500
0.500 0.500 0.500
0.000 0.500 0.000
0.500 0.000 0.000
```

The electronic total energy comes out at -1.301 eV per atom. For the volume, the calculation gives 49.7 Å³ per atom. As for the space-group type: P4/mmm (123).